(1)
NaUVO5 after structural relaxation, computed with PBE+U.

Its crystal system is monoclinic. The calculation puts the density of states at the Fermi level at 5.7 states/eV per cell. The space-group type is C2/c, No. 15.

Cell and atoms, written as POSCAR:
```
NaUVO5
1.0
3.599 -4.757 0.000
3.599 4.757 0.000
-3.173 0.000 7.274
Na U V O
2 2 2 10
Direct
0.170 0.830 0.750
0.830 0.170 0.250
0.500 0.500 0.000
0.500 0.500 0.500
0.176 0.824 0.250
0.824 0.176 0.750
0.126 0.236 0.908
0.199 0.615 0.382
0.236 0.126 0.408
0.385 0.801 0.118
0.420 0.580 0.750
0.580 0.420 0.250
0.615 0.199 0.882
0.764 0.874 0.592
0.801 0.385 0.618
0.874 0.764 0.092
```

=====

(2)
NaU2VO8 after structural relaxation, computed with PBE+U.

Its crystal system is orthorhombic. The space-group type is Cmmm, No. 65.

Cell and atoms, written as POSCAR:
```
NaU2VO8
1.0
3.356 -3.434 0.000
3.356 3.434 0.000
0.000 0.000 7.015
Na U V O
1 2 1 8
Direct
0.000 0.000 0.000
0.500 0.500 0.250
0.500 0.500 0.750
0.000 0.000 0.500
0.208 0.208 0.279
0.208 0.208 0.721
0.299 0.701 0.500
0.323 0.677 0.000
0.677 0.323 0.000
0.701 0.299 0.500
0.792 0.792 0.279
0.792 0.792 0.721
```

=====

(3)
Na2UV2O6 after structural relaxation, computed with PBE+U.

Its crystal system is monoclinic. The calculation puts the density of states at the Fermi level at 2.8 states/eV per cell. The space-group type is C2/m, No. 12.

Cell and atoms, written as POSCAR:
```
Na2UV2O6
1.0
2.802 -4.699 0.000
2.802 4.699 0.000
-2.053 0.000 5.621
Na U V O
2 1 2 6
Direct
0.180 0.820 0.000
0.820 0.180 0.000
0.000 0.000 0.500
0.342 0.658 0.500
0.658 0.342 0.500
0.056 0.404 0.692
0.254 0.254 0.294
0.404 0.056 0.692
0.596 0.944 0.308
0.746 0.746 0.706
0.944 0.596 0.308
```

=====

(4)
Na2UVO6 after structural relaxation, computed with PBE+U.

Its crystal system is monoclinic. The space-group type is C2/m, No. 12.

Cell and atoms, written as POSCAR:
```
Na2UVO6
1.0
4.808 -2.855 0.000
4.808 2.855 0.000
-3.172 0.000 4.586
Na U V O
2 1 1 6
Direct
0.249 0.249 0.265
0.751 0.751 0.735
0.500 0.500 0.000
0.000 0.000 0.500
0.198 0.714 0.695
0.247 0.247 0.831
0.286 0.802 0.305
0.714 0.198 0.695
0.753 0.753 0.169
0.802 0.286 0.305
```

=====

| no. | electronic total energy (eV for the cell shown) | magnetic moment (μB per cell) |
| --- | --- | --- |
| 1 | -129.9 | 4.0 |
| 2 | -103.6 | 2.0 |
| 3 | -83.8 | 4.0 |
| 4 | -75.3 | 1.0 |